1.
Density functional theory data (meta-GGA SCAN) for a crystal of CrNiPCl2 relaxed with PBEsol.

a = 4.502 Å, b = 4.502 Å, c = 4.751 Å
α = 90.00°, β = 90.00°, γ = 90.00°
Each line ends with the local moment (μB).
Sites, in units of the cell vectors:
Cl (0.500, 0.000, 0.000)  0.02
Cl (0.000, 0.500, 0.000)  0.02
P (0.000, 0.000, 0.500)  -0.25
Ni (0.500, 0.500, 0.500)  1.47
Cr (0.000, 0.000, 0.000)  2.91

Calculated values
Formation energy without anion corrections = 0.15 eV per atom
Space group = No. 123
Calculated total energy = -0.442 Ha/atom


2.
Density functional theory data (meta-GGA SCAN) for a crystal of MnHg2Ir relaxed with PBEsol.

a = 4.572 Å, b = 4.572 Å, c = 4.572 Å
α = 60.00°, β = 60.00°, γ = 60.00°
Each line ends with the local moment (μB).
Sites, in units of the cell vectors:
Hg (0.000, 0.000, 0.000)  -0.02
Hg (0.750, 0.750, 0.750)  0.00
Mn (0.250, 0.250, 0.250)  4.07
Ir (0.500, 0.500, 0.500)  0.18

Calculated values
Polymorph energy (0 for the lowest one) = 0.2153 eV per atom
Space group = No. 216
Calculated formation energy = 0.284 eV per atom
Calculated total energy = -2.063 Ha/atom


3.
Density functional theory data (meta-GGA SCAN) for a crystal of Ba2TmCu4O8 relaxed with PBEsol.

a = 3.810 Å, b = 3.837 Å, c = 13.545 Å
α = 81.86°, β = 90.00°, γ = 90.00°
Sites, in units of the cell vectors:
O (0.000, 0.551, 0.898)
O (0.000, 0.282, 0.436)
O (0.000, 0.856, 0.288)
O (0.000, 0.144, 0.712)
O (0.500, 0.949, 0.103)
O (0.000, 0.449, 0.102)
O (0.000, 0.718, 0.564)
O (0.500, 0.051, 0.897)
Cu (0.000, 0.788, 0.425)
Cu (0.000, 0.061, 0.878)
Cu (0.000, 0.939, 0.122)
Cu (0.000, 0.212, 0.575)
Tm (0.500, 0.500, 0.000)
Ba (0.500, 0.365, 0.270)
Ba (0.500, 0.635, 0.730)

Calculated values
Formation energy without anion corrections = -1.91 eV per atom
Space group = No. 65
Calculated total energy = -0.662 Ha/atom


4.
Density functional theory data (meta-GGA SCAN) for a crystal of Y2FePt relaxed with PBEsol.

a = 3.464 Å, b = 4.414 Å, c = 6.041 Å
α = 111.44°, β = 106.66°, γ = 90.00°
Each line ends with the local moment (μB).
Sites, in units of the cell vectors:
Pt (0.791, 0.290, 0.581)  0.07
Y (0.014, 0.014, 0.028)  -0.46
Y (0.234, 0.734, 0.467)  -0.19
Fe (0.462, 0.462, 0.923)  2.70

Calculated values
Space group = No. 44
Calculated formation energy = -0.524 eV per atom
Calculated total energy = -1.342 Ha/atom


5.
Density functional theory data (meta-GGA SCAN) for a crystal of Li2Ti3MnO8 relaxed with PBEsol.

a = 5.877 Å, b = 5.877 Å, c = 9.669 Å
α = 90.00°, β = 90.00°, γ = 120.00°
Each line ends with the local moment (μB).
Sites, in units of the cell vectors:
O (0.667, 0.333, 0.104)  0.00
O (0.842, 0.158, 0.605)  0.01
O (0.842, 0.683, 0.605)  0.01
O (0.483, 0.966, 0.829)  0.01
O (0.333, 0.667, 0.604)  0.00
O (0.966, 0.483, 0.329)  0.01
O (0.517, 0.483, 0.329)  0.01
O (0.158, 0.842, 0.105)  0.01
O (0.000, 0.000, 0.816)  0.01
O (0.034, 0.517, 0.829)  0.01
O (0.000, 0.000, 0.316)  0.01
O (0.517, 0.034, 0.329)  0.01
O (0.683, 0.842, 0.105)  0.01
O (0.317, 0.158, 0.605)  0.01
O (0.483, 0.517, 0.829)  0.01
O (0.158, 0.317, 0.105)  0.01
Li (0.667, 0.333, 0.892)  0.00
Li (0.000, 0.000, 0.499)  0.00
Li (0.333, 0.667, 0.392)  0.00
Li (0.000, 0.000, 0.999)  0.00
Ti (0.169, 0.337, 0.715)  0.11
Ti (0.831, 0.169, 0.215)  0.11
Ti (0.831, 0.663, 0.215)  0.11
Ti (0.337, 0.169, 0.215)  0.11
Ti (0.663, 0.831, 0.715)  0.11
Ti (0.169, 0.831, 0.715)  0.11
Mn (0.667, 0.333, 0.495)  4.40
Mn (0.333, 0.667, 0.995)  4.40

Calculated values
Polymorph energy (0 for the lowest one) = 0.0384 eV per atom
Formation energy without anion corrections = -2.94 eV per atom
Space group = No. 186
Calculated total energy = -0.426 Ha/atom


6.
Density functional theory data (meta-GGA SCAN) for a crystal of Zn2Ag2Au relaxed with PBEsol.

a = 3.348 Å, b = 6.869 Å, c = 6.869 Å
α = 90.00°, β = 90.00°, γ = 90.00°
Sites, in units of the cell vectors:
Ag (0.500, 0.161, 0.661)
Ag (0.500, 0.339, 0.161)
Ag (0.500, 0.839, 0.339)
Ag (0.500, 0.661, 0.839)
Zn (0.000, 0.865, 0.635)
Zn (0.000, 0.365, 0.865)
Zn (0.000, 0.635, 0.135)
Zn (0.000, 0.135, 0.365)
Au (0.000, 0.500, 0.500)
Au (0.000, 0.000, 0.000)

Calculated values
Space group = No. 127
Calculated formation energy = -0.038 eV per atom
Calculated total energy = -1.169 Ha/atom


7.
Density functional theory data (meta-GGA SCAN) for a crystal of SmRu2 relaxed with PBEsol.

a = 5.234 Å, b = 5.234 Å, c = 8.904 Å
α = 90.00°, β = 90.00°, γ = 120.00°
Sites, in units of the cell vectors:
Ru (0.169, 0.831, 0.750)
Ru (0.339, 0.169, 0.250)
Ru (0.000, 0.000, 0.000)
Ru (0.661, 0.831, 0.750)
Ru (0.000, 0.000, 0.500)
Ru (0.831, 0.169, 0.250)
Ru (0.169, 0.339, 0.750)
Ru (0.831, 0.661, 0.250)
Sm (0.667, 0.333, 0.934)
Sm (0.333, 0.667, 0.434)
Sm (0.333, 0.667, 0.066)
Sm (0.667, 0.333, 0.566)

Calculated values
Space group = No. 194
Calculated formation energy = -0.282 eV per atom
Calculated total energy = -1.408 Ha/atom


8.
Density functional theory data (meta-GGA SCAN) for a crystal of OsCS2Cl relaxed with PBEsol.

a = 4.463 Å, b = 4.463 Å, c = 4.886 Å
α = 90.00°, β = 90.00°, γ = 90.00°
Each line ends with the local moment (μB).
Sites, in units of the cell vectors:
Cl (0.000, 0.000, 0.500)  -0.03
C (0.500, 0.500, 0.500)  0.89
S (0.500, 0.000, 0.000)  -0.06
S (0.000, 0.500, 0.000)  -0.06
Os (0.000, 0.000, 0.000)  0.16

Calculated values
Formation energy without anion corrections = 1.68 eV per atom
Space group = No. 123
Calculated total energy = -0.741 Ha/atom


Repeat the second record exactly.
Density functional theory data (meta-GGA SCAN) for a crystal of MnHg2Ir relaxed with PBEsol.

a = 4.572 Å, b = 4.572 Å, c = 4.572 Å
α = 60.00°, β = 60.00°, γ = 60.00°
Each line ends with the local moment (μB).
Sites, in units of the cell vectors:
Hg (0.000, 0.000, 0.000)  -0.02
Hg (0.750, 0.750, 0.750)  0.00
Mn (0.250, 0.250, 0.250)  4.07
Ir (0.500, 0.500, 0.500)  0.18

Calculated values
Polymorph energy (0 for the lowest one) = 0.2153 eV per atom
Space group = No. 216
Calculated formation energy = 0.284 eV per atom
Calculated total energy = -2.063 Ha/atom


The highest calculated total energy belongs to which entry?
Li2Ti3MnO8